Arrangement 1

# Tc2AsH PBE optimized geometry
data_Tc2AsH
_chemical_formula_sum 'Tc4 As2 H2'
_space_group_name_H-M_alt 'P 1'
_space_group_IT_number 1
_space_group_name_Hall 'P 1'
_cell_length_a 4.683
_cell_length_b 4.683
_cell_length_c 6.028
_cell_angle_alpha 67.14
_cell_angle_beta 67.14
_cell_angle_gamma 90.00
loop_
_atom_site_label
_atom_site_type_symbol
_atom_site_fract_x
_atom_site_fract_y
_atom_site_fract_z
Tc1 Tc 0.875 0.735 0.750
H1 H 0.250 0.750 0.500
Tc2 Tc 0.375 0.515 0.750
H2 H 0.500 0.500 0.000
Tc3 Tc 0.485 0.125 0.250
Tc4 Tc 0.265 0.625 0.250
As1 As 0.750 0.250 0.500
As2 As 0.000 0.000 0.000
# - Spin magnetization: 0.0 Bohr magnetons per cell



Arrangement 2

# Tc2AsH PBE optimized geometry
data_Tc2AsH
_chemical_formula_sum 'Tc2 As1 H1'
_space_group_name_H-M_alt 'P 1'
_space_group_IT_number 1
_space_group_name_Hall 'P 1'
_cell_length_a 4.127
_cell_length_b 4.127
_cell_length_c 4.127
_cell_angle_alpha 60.00
_cell_angle_beta 60.00
_cell_angle_gamma 60.00
loop_
_atom_site_label
_atom_site_type_symbol
_atom_site_fract_x
_atom_site_fract_y
_atom_site_fract_z
H1 H 0.000 0.000 0.000
As1 As 0.500 0.500 0.500
Tc1 Tc 0.750 0.750 0.750
Tc2 Tc 0.250 0.250 0.250
# - Spin magnetization: 0.0 Bohr magnetons per cell



The winner here is arrangement 1, beating the second structure by 13.2 kJ/mol of atoms.



Arrangement 1

# TeAsH2 PBE optimized geometry
data_TeAsH2
_chemical_formula_sum 'Te1 As1 H2'
_space_group_name_H-M_alt 'P 1'
_space_group_IT_number 1
_space_group_name_Hall 'P 1'
_cell_length_a 3.049
_cell_length_b 8.897
_cell_length_c 4.446
_cell_angle_alpha 79.81
_cell_angle_beta 89.94
_cell_angle_gamma 125.73
loop_
_atom_site_label
_atom_site_type_symbol
_atom_site_fract_x
_atom_site_fract_y
_atom_site_fract_z
As1 As 0.985 0.033 0.965
H1 H 0.583 0.671 0.747
H2 H 0.528 0.589 0.681
Te1 Te 0.354 0.248 0.389
# - Spin magnetization: 0.0 Bohr magnetons per cell



Arrangement 2

# TeAsH2 PBE optimized geometry
data_TeAsH2
_chemical_formula_sum 'Te1 As1 H2'
_space_group_name_H-M_alt 'P 1'
_space_group_IT_number 1
_space_group_name_Hall 'P 1'
_cell_length_a 4.176
_cell_length_b 4.176
_cell_length_c 4.176
_cell_angle_alpha 60.00
_cell_angle_beta 60.00
_cell_angle_gamma 60.00
loop_
_atom_site_label
_atom_site_type_symbol
_atom_site_fract_x
_atom_site_fract_y
_atom_site_fract_z
As1 As 0.000 0.000 0.000
Te1 Te 0.500 0.500 0.500
H1 H 0.250 0.250 0.250
H2 H 0.750 0.750 0.750
# - Spin magnetization: 0.0 Bohr magnetons per cell



The winner here is arrangement 1, beating the second structure by 69.1 kJ/mol of atoms.



Arrangement 1

# TeAsH2 PBE optimized geometry
data_TeAsH2
_chemical_formula_sum 'Te2 As2 H4'
_space_group_name_H-M_alt 'P 1'
_space_group_IT_number 1
_space_group_name_Hall 'P 1'
_cell_length_a 5.621
_cell_length_b 5.621
_cell_length_c 5.616
_cell_angle_alpha 59.97
_cell_angle_beta 59.97
_cell_angle_gamma 90.00
loop_
_atom_site_label
_atom_site_type_symbol
_atom_site_fract_x
_atom_site_fract_y
_atom_site_fract_z
Te1 Te 0.000 0.000 0.000
As1 As 0.500 0.500 0.000
H1 H 0.875 0.626 0.750
H2 H 0.375 0.624 0.750
Te2 Te 0.750 0.250 0.500
H3 H 0.374 0.625 0.250
As2 As 0.250 0.750 0.500
H4 H 0.376 0.125 0.250
# - Spin magnetization: 0.0 Bohr magnetons per cell



Arrangement 2

# TeAsH2 PBE optimized geometry
data_TeAsH2
_chemical_formula_sum 'Te1 As1 H2'
_space_group_name_H-M_alt 'P 1'
_space_group_IT_number 1
_space_group_name_Hall 'P 1'
_cell_length_a 4.058
_cell_length_b 4.058
_cell_length_c 4.622
_cell_angle_alpha 63.96
_cell_angle_beta 63.96
_cell_angle_gamma 60.00
loop_
_atom_site_label
_atom_site_type_symbol
_atom_site_fract_x
_atom_site_fract_y
_atom_site_fract_z
H1 H 0.330 0.330 0.010
As1 As 0.000 0.000 0.000
H2 H 0.670 0.670 0.990
Te1 Te 0.500 0.500 0.500
# - Spin magnetization: 0.0 Bohr magnetons per cell



The winner here is arrangement 1, beating the second structure by 27.8 kJ/mol of atoms.



Arrangement 1

# Th2AsH4 PBE optimized geometry
data_Th2AsH4
_chemical_formula_sum 'Th4 As2 H8'
_space_group_name_H-M_alt 'P 1'
_space_group_IT_number 1
_space_group_name_Hall 'P 1'
_cell_length_a 3.896
_cell_length_b 7.265
_cell_length_c 7.265
_cell_angle_alpha 90.00
_cell_angle_beta 90.00
_cell_angle_gamma 90.00
loop_
_atom_site_label
_atom_site_type_symbol
_atom_site_fract_x
_atom_site_fract_y
_atom_site_fract_z
H1 H 0.500 0.165 0.594
H2 H 0.000 0.665 0.906
H3 H 0.000 0.094 0.335
Th1 Th 0.000 0.216 0.784
As1 As 0.000 0.500 0.500
Th2 Th 0.500 0.716 0.716
H4 H 0.000 0.335 0.094
H5 H 0.500 0.835 0.406
Th3 Th 0.000 0.784 0.216
H6 H 0.000 0.906 0.665
As2 As 0.500 0.000 0.000
Th4 Th 0.500 0.284 0.284
H7 H 0.500 0.406 0.835
H8 H 0.500 0.594 0.165
# - Spin magnetization: 0.0 Bohr magnetons per cell



Arrangement 2

# Th2AsH4 PBE optimized geometry
data_Th2AsH4
_chemical_formula_sum 'Th2 As1 H4'
_space_group_name_H-M_alt 'P 1'
_space_group_IT_number 1
_space_group_name_Hall 'P 1'
_cell_length_a 3.961
_cell_length_b 3.961
_cell_length_c 7.702
_cell_angle_alpha 75.10
_cell_angle_beta 75.10
_cell_angle_gamma 60.00
loop_
_atom_site_label
_atom_site_type_symbol
_atom_site_fract_x
_atom_site_fract_y
_atom_site_fract_z
Th1 Th 0.244 0.244 0.268
H1 H 0.135 0.135 0.596
H2 H 0.428 0.428 0.717
Th2 Th 0.756 0.756 0.732
As1 As 0.000 0.000 0.000
H3 H 0.572 0.572 0.283
H4 H 0.865 0.865 0.404
# - Spin magnetization: 0.0 Bohr magnetons per cell



The winner here is arrangement 2, beating the second structure by 5.4 kJ/mol of atoms.



Arrangement 1

# Ti2AsH PBE optimized geometry
data_Ti2AsH
_chemical_formula_sum 'Ti4 As2 H2'
_space_group_name_H-M_alt 'P 1'
_space_group_IT_number 1
_space_group_name_Hall 'P 1'
_cell_length_a 3.570
_cell_length_b 5.648
_cell_length_c 5.648
_cell_angle_alpha 104.02
_cell_angle_beta 90.00
_cell_angle_gamma 90.00
loop_
_atom_site_label
_atom_site_type_symbol
_atom_site_fract_x
_atom_site_fract_y
_atom_site_fract_z
H1 H 0.000 0.694 0.694
H2 H 0.000 0.306 0.306
Ti1 Ti 0.000 0.000 0.500
Ti2 Ti 0.500 0.500 0.500
As1 As 0.500 0.208 0.792
Ti3 Ti 0.000 0.000 0.000
As2 As 0.500 0.792 0.208
Ti4 Ti 0.000 0.500 0.000
# - Spin magnetization: 0.0 Bohr magnetons per cell



Arrangement 2

# Ti2AsH PBE optimized geometry
data_Ti2AsH
_chemical_formula_sum 'Ti4 As2 H2'
_space_group_name_H-M_alt 'P 1'
_space_group_IT_number 1
_space_group_name_Hall 'P 1'
_cell_length_a 5.995
_cell_length_b 5.995
_cell_length_c 5.122
_cell_angle_alpha 54.18
_cell_angle_beta 54.18
_cell_angle_gamma 90.00
loop_
_atom_site_label
_atom_site_type_symbol
_atom_site_fract_x
_atom_site_fract_y
_atom_site_fract_z
As1 As 0.000 0.000 0.000
Ti1 Ti 0.218 0.625 0.250
Ti2 Ti 0.532 0.125 0.250
H1 H 0.250 0.750 0.500
As2 As 0.750 0.250 0.500
H2 H 0.500 0.500 0.000
Ti3 Ti 0.375 0.468 0.750
Ti4 Ti 0.875 0.782 0.750
# - Spin magnetization: 0.0 Bohr magnetons per cell



The winner here is arrangement 2, beating the second structure by 8.9 kJ/mol of atoms.



Arrangement 1

# Ti2AsH PBE optimized geometry
data_Ti2AsH
_chemical_formula_sum 'Ti2 As1 H1'
_space_group_name_H-M_alt 'P 1'
_space_group_IT_number 1
_space_group_name_Hall 'P 1'
_cell_length_a 4.252
_cell_length_b 4.252
_cell_length_c 4.252
_cell_angle_alpha 60.00
_cell_angle_beta 60.00
_cell_angle_gamma 60.00
loop_
_atom_site_label
_atom_site_type_symbol
_atom_site_fract_x
_atom_site_fract_y
_atom_site_fract_z
As1 As 0.500 0.500 0.500
H1 H 0.000 0.000 0.000
Ti1 Ti 0.250 0.250 0.250
Ti2 Ti 0.750 0.750 0.750
# - Spin magnetization: 0.0 Bohr magnetons per cell



Arrangement 2

# Ti2AsH PBE optimized geometry
data_Ti2AsH
_chemical_formula_sum 'Ti8 As4 H4'
_space_group_name_H-M_alt 'P 1'
_space_group_IT_number 1
_space_group_name_Hall 'P 1'
_cell_length_a 3.420
_cell_length_b 5.283
_cell_length_c 11.369
_cell_angle_alpha 90.00
_cell_angle_beta 90.00
_cell_angle_gamma 90.00
loop_
_atom_site_label
_atom_site_type_symbol
_atom_site_fract_x
_atom_site_fract_y
_atom_site_fract_z
H1 H 0.750 0.250 0.867
H2 H 0.250 0.750 0.133
As1 As 0.250 0.251 0.619
As2 As 0.750 0.749 0.381
Ti1 Ti 0.250 0.000 0.250
Ti2 Ti 0.250 0.251 0.950
Ti3 Ti 0.750 0.000 0.750
Ti4 Ti 0.750 0.500 0.750
Ti5 Ti 0.750 0.749 0.050
As3 As 0.750 0.249 0.119
Ti6 Ti 0.750 0.249 0.450
Ti7 Ti 0.250 0.751 0.550
Ti8 Ti 0.250 0.500 0.250
As4 As 0.250 0.751 0.881
H3 H 0.750 0.750 0.633
H4 H 0.250 0.250 0.367
# - Spin magnetization: 0.0 Bohr magnetons per cell



Arrangement 3

# Ti2AsH PBE optimized geometry
data_Ti2AsH
_chemical_formula_sum 'Ti2 As1 H1'
_space_group_name_H-M_alt 'P 1'
_space_group_IT_number 1
_space_group_name_Hall 'P 1'
_cell_length_a 3.270
_cell_length_b 3.270
_cell_length_c 6.067
_cell_angle_alpha 74.36
_cell_angle_beta 74.36
_cell_angle_gamma 60.00
loop_
_atom_site_label
_atom_site_type_symbol
_atom_site_fract_x
_atom_site_fract_y
_atom_site_fract_z
Ti1 Ti 0.732 0.732 0.804
Ti2 Ti 0.268 0.268 0.196
As1 As 0.500 0.500 0.500
H1 H 0.000 0.000 0.000
# - Spin magnetization: 0.0 Bohr magnetons per cell



The winner here is arrangement 2, beating the second structure by 33.1 kJ/mol of atoms.